This record from the Alexandria database describes a relaxed P3Rh crystal. The functional is PBE.

Values from the calculation:
The energy above the most stable polymorph in this dataset comes out at 939 meV per atom. The space group is Fm-3m, No. 225.

```
4
Lattice="0.0000 3.0417 3.0417 3.0417 0.0000 3.0417 3.0417 3.0417 0.0000" Properties=species:S:1:pos:R:3 pbc="T T T"
P 0.0000 0.0000 0.0000
P 1.5209 1.5209 1.5209
P 4.5626 4.5626 4.5626
Rh 3.0417 3.0417 3.0417
```

---

This record from the Alexandria database describes a relaxed PRh4 crystal. The functional is PBE.

Values from the calculation:
The energy above the most stable polymorph in this dataset comes out at 0 meV per atom. The space group is Pm-3m, No. 221.

```
5
Lattice="4.3294 0.0000 0.0000 0.0000 4.3294 0.0000 0.0000 0.0000 4.3294" Properties=species:S:1:pos:R:3 pbc="T T T"
P 0.0000 0.0000 0.0000
Rh 0.0000 0.0000 2.1647
Rh 0.0000 2.1647 0.0000
Rh 2.1647 0.0000 0.0000
Rh 2.1647 2.1647 2.1647
```

---

| no. | V (Å³/cell) | density (g cm⁻³) | DFT formation energy (eV/atom) |
| --- | --- | --- | --- |
| 1 | 56 | 5.78 | 0.357 |
| 2 | 81 | 9.06 | 0.316 |